First-principles (PBE) data for a relaxed structure of HfBe, as listed in Alexandria.

Results
- D(E_F) (states/eV/cell) = 6.815
- E_form (eV per atom) = 0.34

Unit cell a=5.0098 b=5.0098 c=5.1330 alpha=90.00 beta=90.00 gamma=90.00
Closest atoms and distances in Å follow each position.
Sites, in units of the cell vectors:
Hf 0.8113 0.8113 0.0000  6 Be 2.48-2.75, 1 Hf 2.67
Hf 0.3113 0.6887 0.5000  6 Be 2.48-2.75, 1 Hf 2.67
Hf 0.6887 0.3113 0.5000  6 Be 2.48-2.75, 1 Hf 2.67
Hf 0.1887 0.1887 0.0000  6 Be 2.48-2.75, 1 Hf 2.67
Be 0.6605 0.3395 0.0000  1 Be 2.27, 2 Hf 2.48
Be 0.1605 0.1605 0.5000  1 Be 2.27, 2 Hf 2.48
Be 0.8395 0.8395 0.5000  1 Be 2.27, 2 Hf 2.48
Be 0.3395 0.6605 0.0000  1 Be 2.27, 2 Hf 2.48